Density functional theory data (meta-GGA SCAN) for AlAgPt4 at its PBEsol-relaxed geometry.

```
AlAgPt4
1.0
5.202 0.000 0.000
2.601 4.505 0.000
2.601 1.502 4.248
Ag Al Pt
1 1 4
direct
0.750 0.750 0.750
0.000 0.000 0.000
0.375 0.375 0.375
0.375 0.375 0.875
0.875 0.375 0.375
0.375 0.875 0.375
```

Output
DOS(E_F) = 5.265 states/eV per cell
Space-group type = F-43m, No. 216
Formation energy from the elements = -0.1025 eV/atom


Density functional theory data (meta-GGA SCAN) for Zr2HgCl at its PBEsol-relaxed geometry.

```
Zr2HgCl
1.0
3.309 0.000 0.000
1.655 2.866 0.000
1.655 0.955 9.600
Hg Zr Cl
1 2 1
direct
0.258 0.258 0.227
0.005 0.005 0.985
0.755 0.755 0.736
0.483 0.483 0.552
```

Output
Energy relative to the lowest polymorph listed for this composition = 0.000 kcal/mol of atoms
DOS(E_F) = 3.727 states/eV per cell
Uncorrected formation energy = -0.656 eV per atom
Space-group type = R3m, No. 160


Density functional theory data (meta-GGA SCAN) for Tb16B4Br23 at its PBEsol-relaxed geometry.

```
Tb16B4Br23
1.0
-10.188 -2.480 1.171
-2.063 -3.147 9.856
-4.335 9.936 4.819
Tb B Br
16 4 23
direct
0.813 0.813 0.727
0.187 0.187 0.273
0.193 0.811 0.152
0.189 0.807 0.848
0.807 0.189 0.848
0.811 0.193 0.152
0.189 0.487 0.374
0.513 0.811 0.626
0.811 0.513 0.626
0.487 0.189 0.374
0.500 0.801 0.938
0.199 0.500 0.062
0.500 0.199 0.062
0.801 0.500 0.938
0.505 0.505 0.849
0.495 0.495 0.151
0.666 0.666 0.773
0.334 0.334 0.227
0.331 0.669 0.000
0.669 0.331 0.000
0.000 0.000 0.000
0.989 0.989 0.687
0.011 0.011 0.313
0.331 0.331 0.884
0.669 0.669 0.116
0.998 0.340 0.443
0.660 0.002 0.557
0.002 0.660 0.557
0.340 0.998 0.443
0.670 0.340 0.337
0.660 0.330 0.663
0.330 0.660 0.663
0.003 0.340 0.105
0.660 0.997 0.895
0.997 0.660 0.895
0.340 0.003 0.105
0.002 0.327 0.776
0.673 0.998 0.224
0.998 0.673 0.224
0.327 0.002 0.776
0.335 0.335 0.555
0.665 0.665 0.445
0.340 0.670 0.337
```

Output
DOS(E_F) = 15.536 states/eV per cell
Uncorrected formation energy = -1.671 eV per atom
Space-group type = C2/m, No. 12